Entry 1:
Below is an optimized crystal structure of CsSnPb4, with properties calculated at the PBE level.

Lattice parameters (Å, degrees): 9.1044 6.0503 9.6615 72.39 118.16 90.11
Element x y z (fractional)
Pb: 0.7087 0.4440 0.6261
Pb: 0.3197 0.8445 0.7701
Pb: 0.0817 0.0562 0.3732
Cs: 0.1827 0.2505 0.9998
Cs: 0.8173 0.7495 0.0002
Sn: 0.0000 0.5000 0.5000
Pb: 0.9183 0.9438 0.6268
Pb: 0.4518 0.3443 0.7711
Sn: 0.5000 0.0000 0.5000
Pb: 0.2913 0.5560 0.3739
Pb: 0.6803 0.1555 0.2299
Pb: 0.5482 0.6557 0.2289


Entry 2:
Below is an optimized crystal structure of Cs2Sn7Pb, with properties calculated at the PBE level.

Lattice parameters (Å, degrees): 5.2453 5.2452 13.2969 90.00 90.00 90.00
Element x y z (fractional)
Pb: 0.5000 0.5000 0.0000
Sn: 0.0000 0.0000 0.0000
Sn: 0.0000 0.5000 0.6227
Sn: 0.0000 0.5000 0.8717
Cs: 0.5000 0.0000 0.7477
Cs: 0.0000 0.5000 0.2523
Sn: 0.5000 0.0000 0.3773
Sn: 0.5000 0.0000 0.1283
Sn: 0.0000 0.0000 0.5000
Sn: 0.5000 0.5000 0.5000


Entry 3:
Below is an optimized crystal structure of Cs2Sn3Pb2, with properties calculated at the PBE level.

Lattice parameters (Å, degrees): 5.3060 7.3845 8.3416 117.15 90.00 111.06
Element x y z (fractional)
Sn: 0.5000 0.0000 0.0000
Pb: 0.8481 0.6962 0.7110
Sn: 0.4171 0.8341 0.5813
Cs: 0.1594 0.3187 0.8027
Sn: 0.5829 0.1659 0.4187
Pb: 0.1519 0.3038 0.2890
Cs: 0.8406 0.6813 0.1973


Entry 4:
Below is an optimized crystal structure of Cs3Sn2Pb4, with properties calculated at the PBE level.

Lattice parameters (Å, degrees): 7.9364 10.4605 10.4605 72.25 77.54 77.54
Element x y z (fractional)
Pb: 0.8274 0.3544 0.9194
Pb: 0.6726 0.0806 0.6456
Pb: 0.0499 0.1745 0.4157
Pb: 0.5499 0.4157 0.1745
Sn: 0.0553 0.5854 0.8394
Cs: 0.8612 0.9955 0.2179
Cs: 0.7500 0.4831 0.5169
Sn: 0.4447 0.1606 0.4146
Pb: 0.4501 0.5843 0.8255
Cs: 0.6388 0.7821 0.0045
Sn: 0.9447 0.4146 0.1606
Cs: 0.3612 0.2179 0.9955
Pb: 0.3274 0.9194 0.3544
Pb: 0.9501 0.8255 0.5843
Cs: 0.2500 0.5169 0.4831
Pb: 0.1726 0.6456 0.0806
Sn: 0.5553 0.8394 0.5854
Cs: 0.1388 0.0045 0.7821


Entry 5:
Below is an optimized crystal structure of Cs2SnPb2, with properties calculated at the PBE level.

Lattice parameters (Å, degrees): 11.3096 11.3096 3.5273 90.00 90.00 90.00
Element x y z (fractional)
Pb: 0.5941 0.9059 0.0000
Pb: 0.9059 0.4059 0.0000
Cs: 0.2029 0.2971 0.5000
Cs: 0.7029 0.2029 0.5000
Pb: 0.0941 0.5941 0.0000
Sn: 0.0000 0.0000 0.0000
Cs: 0.2971 0.7971 0.5000
Cs: 0.7971 0.7029 0.5000
Sn: 0.5000 0.5000 0.0000
Pb: 0.4059 0.0941 0.0000


Entry 6:
Below is an optimized crystal structure of CsSnPb, with properties calculated at the PBE level.

Lattice parameters (Å, degrees): 3.9434 3.9434 7.9739 104.32 104.32 90.00
Element x y z (fractional)
Pb: 0.3036 0.3036 0.6072
Cs: 0.0028 0.0028 0.0056
Sn: 0.6936 0.6936 0.3872


| no. | formation energy from the elements (eV/atom) | spin magnetization (μB/f.u.) |
| --- | --- | --- |
| 1 | -0.04 | 0.0 |
| 2 | -0.15 | 0.0 |
| 3 | -0.14 | 0.0 |
| 4 | -0.14 | 0.0 |
| 5 | 0.20 | 0.0 |
| 6 | -0.10 | 0.0 |